Entry 1:
GeSbSe2Br at its PBEsol-relaxed geometry. Source: Alexandria via LeMat-Bulk, functional meta-GGA SCAN.

Results
- raw formation energy (meV/atom) = 276
- energy (eV per atom) = -22.917
- ρ (g/cm3) = 5.8
- space-group type = P4/mmm, No. 123

Unit cell a=5.017 b=5.017 c=4.923 alpha=90.00 beta=90.00 gamma=90.00
Positions (direct):
Ge1 0.000 0.000 0.000
Sb1 0.500 0.500 0.500
Se1 0.000 0.500 0.000
Se2 0.500 0.000 0.000
Br1 0.000 0.000 0.500

***

Entry 2:
ScGeSeBr2 at its PBEsol-relaxed geometry. Source: Alexandria via LeMat-Bulk, functional meta-GGA SCAN.

Results
- raw formation energy (meV/atom) = -678
- energy (eV per atom) = -19.143
- ρ (g/cm3) = 4.3
- space-group type = P4/mmm, No. 123

Unit cell a=5.124 b=5.124 c=5.193 alpha=90.00 beta=90.00 gamma=90.00
Positions (direct):
Sc1 0.000 0.000 0.000
Ge1 0.500 0.500 0.500
Se1 0.000 0.000 0.500
Br1 0.000 0.500 0.000
Br2 0.500 0.000 0.000

***

Entry 3:
Sc2SnGeBr at its PBEsol-relaxed geometry. Source: Alexandria via LeMat-Bulk, functional meta-GGA SCAN.

Results
- raw formation energy (meV/atom) = 34
- energy (eV per atom) = -20.554
- ρ (g/cm3) = 4.5
- space-group type = P4/mmm, No. 123

Unit cell a=5.182 b=5.182 c=4.989 alpha=90.00 beta=90.00 gamma=90.00
Positions (direct):
Sc1 0.000 0.500 0.000
Sc2 0.500 0.000 0.000
Sn1 0.000 0.000 0.500
Ge1 0.500 0.500 0.000
Br1 0.500 0.500 0.500

***

Entry 4:
ScZnGe2Br at its PBEsol-relaxed geometry. Source: Alexandria via LeMat-Bulk, functional meta-GGA SCAN.

Results
- raw formation energy (meV/atom) = 620
- energy (eV per atom) = -16.458
- ρ (g/cm3) = 3.9
- space-group type = P4/mmm, No. 123

Unit cell a=5.183 b=5.183 c=5.313 alpha=90.00 beta=90.00 gamma=90.00
Positions (direct):
Sc1 0.000 0.000 0.000
Zn1 0.000 0.000 0.500
Ge1 0.000 0.500 0.000
Ge2 0.500 0.000 0.000
Br1 0.500 0.500 0.500

***

Entry 5:
TcGeSeBr2 at its PBEsol-relaxed geometry. Source: Alexandria via LeMat-Bulk, functional meta-GGA SCAN.

Results
- raw formation energy (meV/atom) = 620
- energy relative to the lowest polymorph listed for this composition (kcal/mol of atoms) = 4.48
- energy (eV per atom) = -22.009
- ρ (g/cm3) = 5.2
- space-group type = P4/mmm, No. 123

Unit cell a=5.064 b=5.064 c=5.138 alpha=90.00 beta=90.00 gamma=90.00
Positions (direct):
Tc1 0.000 0.000 0.000
Ge1 0.500 0.500 0.500
Se1 0.500 0.500 0.000
Br1 0.000 0.500 0.500
Br2 0.500 0.000 0.500

***

Entry 6:
TcGeSeBr2 at its PBEsol-relaxed geometry. Source: Alexandria via LeMat-Bulk, functional meta-GGA SCAN.

Results
- raw formation energy (meV/atom) = 426
- energy relative to the lowest polymorph listed for this composition (kcal/mol of atoms) = 0.00
- energy (eV per atom) = -22.203
- ρ (g/cm3) = 5.7
- space-group type = P4/mmm, No. 123

Unit cell a=5.045 b=5.045 c=4.684 alpha=90.00 beta=90.00 gamma=90.00
Positions (direct):
Tc1 0.000 0.000 0.000
Ge1 0.500 0.500 0.500
Se1 0.000 0.000 0.500
Br1 0.000 0.500 0.000
Br2 0.500 0.000 0.000

***

Entry 7:
ZrGeSe2Br at its PBEsol-relaxed geometry. Source: Alexandria via LeMat-Bulk, functional meta-GGA SCAN.

Results
- raw formation energy (meV/atom) = -380
- energy (eV per atom) = -22.261
- ρ (g/cm3) = 4.9
- space-group type = P4/mmm, No. 123

Unit cell a=5.165 b=5.165 c=5.135 alpha=90.00 beta=90.00 gamma=90.00
Positions (direct):
Zr1 0.000 0.000 0.000
Ge1 0.500 0.500 0.500
Se1 0.000 0.500 0.000
Se2 0.500 0.000 0.000
Br1 0.000 0.000 0.500

***

Entry 8:
SiGe2Br at its PBEsol-relaxed geometry. Source: Alexandria via LeMat-Bulk, functional meta-GGA SCAN.

Results
- raw formation energy (meV/atom) = 661
- energy (eV per atom) = -16.252
- ρ (g/cm3) = 5.5
- space-group type = Fm-3m, No. 225

Unit cell a=4.762 b=4.762 c=4.762 alpha=60.00 beta=60.00 gamma=60.00
Positions (direct):
Si1 0.000 0.000 0.000
Ge1 0.250 0.250 0.250
Ge2 0.750 0.750 0.750
Br1 0.500 0.500 0.500

***

Entry 9:
Si3GeBr at its PBEsol-relaxed geometry. Source: Alexandria via LeMat-Bulk, functional meta-GGA SCAN.

Results
- raw formation energy (meV/atom) = 1650
- energy (eV per atom) = -12.069
- ρ (g/cm3) = 3.3
- space-group type = Pm-3m, No. 221

Unit cell a=4.903 b=4.903 c=4.903 alpha=90.00 beta=90.00 gamma=90.00
Positions (direct):
Si1 0.000 0.000 0.500
Si2 0.000 0.500 0.000
Si3 0.500 0.000 0.000
Ge1 0.500 0.500 0.500
Br1 0.000 0.000 0.000

***

Entry 10:
ZrSiGe2Br at its PBEsol-relaxed geometry. Source: Alexandria via LeMat-Bulk, functional meta-GGA SCAN.

Results
- raw formation energy (meV/atom) = 648
- energy (eV per atom) = -19.022
- ρ (g/cm3) = 5.3
- space-group type = P4/mmm, No. 123

Unit cell a=4.670 b=4.670 c=4.940 alpha=90.00 beta=90.00 gamma=90.00
Positions (direct):
Zr1 0.000 0.000 0.000
Si1 0.500 0.500 0.500
Ge1 0.000 0.500 0.500
Ge2 0.500 0.000 0.500
Br1 0.500 0.500 0.000

***

Entry 11:
GeTe2Br at its PBEsol-relaxed geometry. Source: Alexandria via LeMat-Bulk, functional meta-GGA SCAN.

Results
- raw formation energy (meV/atom) = 135
- energy relative to the lowest polymorph listed for this composition (kcal/mol of atoms) = 0.00
- energy (eV per atom) = -28.127
- ρ (g/cm3) = 5.5
- space-group type = I-42d, No. 122

Unit cell a=6.839 b=6.839 c=6.839 alpha=112.24 beta=112.24 gamma=104.06
Positions (direct):
Ge1 0.000 0.000 0.000
Ge2 0.750 0.250 0.500
Te1 0.073 0.125 0.448
Te2 0.375 0.927 0.052
Te3 0.677 0.625 0.552
Te4 0.875 0.323 0.948
Br1 0.250 0.750 0.500
Br2 0.500 0.500 0.000

***

Entry 12:
GeTe3Br at its PBEsol-relaxed geometry. Source: Alexandria via LeMat-Bulk, functional meta-GGA SCAN.

Results
- raw formation energy (meV/atom) = 987
- energy (eV per atom) = -29.073
- ρ (g/cm3) = 5.5
- space-group type = Pm-3m, No. 221

Unit cell a=5.439 b=5.439 c=5.439 alpha=90.00 beta=90.00 gamma=90.00
Positions (direct):
Ge1 0.000 0.000 0.000
Te1 0.000 0.500 0.500
Te2 0.500 0.000 0.500
Te3 0.500 0.500 0.000
Br1 0.500 0.500 0.500

***

Entry 13:
GeTe2Br at its PBEsol-relaxed geometry. Source: Alexandria via LeMat-Bulk, functional meta-GGA SCAN.

Results
- raw formation energy (meV/atom) = 320
- energy relative to the lowest polymorph listed for this composition (kcal/mol of atoms) = 4.26
- energy (eV per atom) = -27.942
- ρ (g/cm3) = 6.7
- space-group type = R-3m, No. 166

Unit cell a=11.846 b=11.846 c=11.846 alpha=15.37 beta=15.37 gamma=15.37
Positions (direct):
Ge1 0.000 0.000 0.000
Te1 0.080 0.080 0.080
Te2 0.920 0.920 0.920
Br1 0.500 0.500 0.500

***

Number 1: DOS at the Fermi energy 0.445 states/eV per atom. Number 2: DOS at the Fermi energy 0.320 states/eV per atom. Number 3: DOS at the Fermi energy 0.701 states/eV per atom. Number 4: DOS at the Fermi energy 1.061 states/eV per atom. Number 5: DOS at the Fermi energy 0.304 states/eV per atom. Number 6: DOS at the Fermi energy 0.820 states/eV per atom. Number 7: DOS at the Fermi energy 0.451 states/eV per atom. Number 8: DOS at the Fermi energy 0.601 states/eV per atom. Number 9: DOS at the Fermi energy 0.486 states/eV per atom. Number 10: DOS at the Fermi energy 0.620 states/eV per atom. Number 11: DOS at the Fermi energy 1.100 states/eV per atom. Number 12: DOS at the Fermi energy 0.844 states/eV per atom. Number 13: DOS at the Fermi energy 0.671 states/eV per atom.